# 1
{"formula": "ReMo2Os", "functional": "SCAN", "state": "single point on PBEsol structure", "lattice_angstrom": [[3.074, 0.000, 0.000], [0.000, 4.376, 0.000], [0.000, 0.000, 4.410]], "species": ["Re", "Mo", "Mo", "Os"], "fractional_positions": [[0.000, 0.000, 0.000], [0.000, 0.500, 0.500], [0.500, 0.500, 0.000], [0.500, 0.000, 0.500]], "dos_ef_per_ev_fu": 3.94}

# 2
{"formula": "BaMg2W", "functional": "SCAN", "state": "single point on PBEsol structure", "lattice_angstrom": [[2.994, 0.000, 0.000], [0.000, 2.994, 0.000], [0.000, 0.000, 10.272]], "species": ["Ba", "Mg", "Mg", "W"], "fractional_positions": [[0.000, 0.000, 0.000], [0.500, 0.500, 0.301], [0.500, 0.500, 0.699], [0.000, 0.000, 0.500]], "dos_ef_per_ev_fu": 2.94, "de_polymorph_mev_per_atom": 0}

Spin magnetization (μB/f.u.)
0.0; 0.0
Final energy (eV per cell)
-211.97; -116.55
ΔE_f (meV per atom)
196; 659